(1)
A relaxed LuCuBW crystal. Source: the Open Quantum Materials Database, functional PBE.

The structure in POSCAR format:
```
LuCuBW
1.0
0.000 3.080 3.080
3.080 0.000 3.080
3.080 3.080 0.000
B Cu Lu W
1 1 1 1
Direct
0.000 0.000 0.000
0.750 0.750 0.750
0.500 0.500 0.500
0.250 0.250 0.250
```

Computed properties:
* SG: No. 216
* density: 12306 kg/m3
* E above lowest polymorph: 0.000 eV/atom

=====

(2)
A relaxed HoEr2In3Pt2 crystal. Source: the Open Quantum Materials Database, functional PBE.

The structure in POSCAR format:
```
HoEr2In3Pt2
1.0
-2.162 2.790 -0.691
-1.495 0.703 7.514
5.912 3.808 -3.121
Er Ho In Pt
2 1 3 2
Direct
0.000 0.421 0.000
0.000 0.000 0.421
0.000 0.579 0.579
0.500 0.769 0.000
0.500 0.231 0.231
0.500 0.000 0.769
0.500 0.667 0.333
0.500 0.333 0.667
```

Computed properties:
* SG: No. 38
* density: 11118 kg/m3
* total energy: -41.16 eV per cell

=====

(3)
A relaxed Dy2Cu5Ni5 crystal. Source: the Open Quantum Materials Database, functional PBE.

The structure in POSCAR format:
```
Dy2Cu5Ni5
1.0
-0.301 3.623 1.744
-4.793 0.105 -1.045
-1.703 -3.721 7.435
Cu Dy Ni
5 2 5
Direct
0.500 0.250 0.249
0.500 0.750 0.249
0.500 0.000 0.500
0.500 0.250 0.751
0.500 0.750 0.751
0.000 0.000 0.000
0.000 0.500 0.500
0.500 0.500 0.000
0.000 0.500 0.162
0.000 0.000 0.335
0.000 0.000 0.665
0.000 0.500 0.838
```

Computed properties:
* SG: No. 47
* density: 9259 kg/m3
* formation energy from the elements: -3.47 eV/f.u.